PBE-GGA NdHgBr2, relaxed; raw formation energy = -1.2133 eV/atom
1.0
3.981 0.000 0.000
1.990 3.447 0.000
1.990 1.149 11.877
Br Hg Nd
2 1 1
direct
0.113 0.113 0.661 Br
0.887 0.887 0.339 Br
0.000 0.000 0.000 Hg
0.500 0.500 0.500 Nd



PBE-GGA InBiI4, relaxed; E above lowest polymorph = 0.0000 eV/atom; raw formation energy = -0.4517 eV/atom
1.0
7.561 0.018 -1.932
-3.405 7.626 -2.874
-0.010 0.165 10.532
I Bi In
8 2 2
direct
0.440 0.159 0.890 I
0.665 0.392 0.362 I
0.803 0.030 0.638 I
0.050 0.269 0.110 I
0.335 0.608 0.638 I
0.950 0.731 0.890 I
0.197 0.970 0.362 I
0.560 0.841 0.110 I
0.682 0.932 0.865 Bi
0.318 0.068 0.135 Bi
0.569 0.319 0.638 In
0.431 0.681 0.362 In



PBE-GGA PmUTe, relaxed; raw formation energy = -0.5552 eV/atom
1.0
-1.121 -3.596 0.350
2.003 -1.087 -4.757
8.359 -0.417 2.057
U Te Pm
2 2 2
direct
0.254 0.839 0.508 U
0.746 0.161 0.492 U
0.913 0.786 0.826 Te
0.087 0.214 0.174 Te
0.585 0.719 0.171 Pm
0.415 0.281 0.829 Pm